# 1
VASP calculation (meta-GGA SCAN) on a PBEsol-optimized structure of ScFeW2.

POSCAR file:
```
ScFeW2
1.0
0.0000 3.1026 3.1026
3.1026 0.0000 3.1026
3.1026 3.1026 0.0000
Sc Fe W
1 1 2
Direct
0.0000 0.0000 0.0000
0.2500 0.2500 0.2500
0.5000 0.5000 0.5000
0.7500 0.7500 0.7500
```

## Properties
- ΔE_f (meV per atom) = 213
- uncorrected energy (eV for the cell shown) = -170.9
- magnetic moment (μB per cell) = 1.2
- energy above the most stable polymorph in this dataset (kJ/mol of formula units) = 0

***

# 2
VASP calculation (meta-GGA SCAN) on a PBEsol-optimized structure of Sc4FeW.

POSCAR file:
```
Sc4FeW
1.0
0.0000 3.8308 3.8308
3.8308 0.0000 3.8308
3.8308 3.8308 0.0000
Sc Fe W
4 1 1
Direct
0.1254 0.1254 0.1254
0.1254 0.1254 0.6237
0.1254 0.6237 0.1254
0.6237 0.1254 0.1254
0.7500 0.7500 0.7500
0.5000 0.5000 0.5000
```

## Properties
- ΔE_f (meV per atom) = 868
- uncorrected energy (eV for the cell shown) = -139.6
- magnetic moment (μB per cell) = 2.6

***

# 3
VASP calculation (meta-GGA SCAN) on a PBEsol-optimized structure of YSc3Fe.

POSCAR file:
```
YSc3Fe
1.0
4.8588 0.0000 0.0000
0.0000 4.8588 0.0000
0.0000 0.0000 4.8588
Y Sc Fe
1 3 1
Direct
0.0000 0.0000 0.0000
0.0000 0.5000 0.5000
0.5000 0.0000 0.5000
0.5000 0.5000 0.0000
0.5000 0.5000 0.5000
```

## Properties
- ΔE_f (meV per atom) = 49
- uncorrected energy (eV for the cell shown) = -88.4
- magnetic moment (μB per cell) = 0.0

***

# 4
VASP calculation (meta-GGA SCAN) on a PBEsol-optimized structure of Y2ScFe.

POSCAR file:
```
Y2ScFe
1.0
0.0000 3.4969 3.4969
3.4969 0.0000 3.4969
3.4969 3.4969 0.0000
Y Sc Fe
2 1 1
Direct
0.2500 0.2500 0.2500
0.7500 0.7500 0.7500
0.0000 0.0000 0.0000
0.5000 0.5000 0.5000
```

## Properties
- ΔE_f (meV per atom) = 363
- uncorrected energy (eV for the cell shown) = -86.6
- magnetic moment (μB per cell) = 0.5
- energy above the most stable polymorph in this dataset (kJ/mol of formula units) = 0

***

# 5
VASP calculation (meta-GGA SCAN) on a PBEsol-optimized structure of YScFe2.

POSCAR file:
```
YScFe2
1.0
4.5093 0.0000 0.0000
0.0000 4.5093 0.0000
0.0000 0.0000 3.2030
Y Sc Fe
1 1 2
Direct
0.0000 0.0000 0.0000
0.5000 0.5000 0.0000
0.0000 0.5000 0.5000
0.5000 0.0000 0.5000
```

## Properties
- ΔE_f (meV per atom) = 196
- uncorrected energy (eV for the cell shown) = -77.6
- magnetic moment (μB per cell) = 3.4

***

# 6
VASP calculation (meta-GGA SCAN) on a PBEsol-optimized structure of YScFe2.

POSCAR file:
```
YScFe2
1.0
0.0000 3.2027 3.2027
3.2027 0.0000 3.2027
3.2027 3.2027 0.0000
Y Sc Fe
1 1 2
Direct
0.0000 0.0000 0.0000
0.2500 0.2500 0.2500
0.5000 0.5000 0.5000
0.7500 0.7500 0.7500
```

## Properties
- ΔE_f (meV per atom) = 295
- uncorrected energy (eV for the cell shown) = -77.2
- magnetic moment (μB per cell) = 4.8

***

# 7
VASP calculation (meta-GGA SCAN) on a PBEsol-optimized structure of Y2ScFe.

POSCAR file:
```
Y2ScFe
1.0
0.0000 3.5093 3.5093
3.5093 0.0000 3.5093
3.5093 3.5093 0.0000
Y Sc Fe
2 1 1
Direct
0.0000 0.0000 0.0000
0.2500 0.2500 0.2500
0.5000 0.5000 0.5000
0.7500 0.7500 0.7500
```

## Properties
- ΔE_f (meV per atom) = 378
- uncorrected energy (eV for the cell shown) = -86.5
- magnetic moment (μB per cell) = 0.5
- energy above the most stable polymorph in this dataset (kJ/mol of formula units) = 6

***

# 8
VASP calculation (meta-GGA SCAN) on a PBEsol-optimized structure of YScFe2.

POSCAR file:
```
YScFe2
1.0
3.1131 0.0000 0.0000
0.0000 3.1131 0.0000
0.0000 0.0000 7.4803
Y Sc Fe
1 1 2
Direct
0.0000 0.0000 0.0000
0.5000 0.5000 0.6181
0.0000 0.0000 0.4036
0.5000 0.5000 0.2529
```

## Properties
- ΔE_f (meV per atom) = 75
- uncorrected energy (eV for the cell shown) = -78.0
- magnetic moment (μB per cell) = 4.7

***

# 9
VASP calculation (meta-GGA SCAN) on a PBEsol-optimized structure of YScZnFe2.

POSCAR file:
```
YScZnFe2
1.0
4.5317 0.0000 0.0000
0.0000 4.5317 0.0000
0.0000 0.0000 4.9819
Y Sc Zn Fe
1 1 1 2
Direct
0.0000 0.0000 0.0000
0.5000 0.5000 0.0000
0.0000 0.0000 0.5000
0.0000 0.5000 0.5000
0.5000 0.0000 0.5000
```

## Properties
- ΔE_f (meV per atom) = 653
- uncorrected energy (eV for the cell shown) = -88.6
- magnetic moment (μB per cell) = 4.7

***

# 10
VASP calculation (meta-GGA SCAN) on a PBEsol-optimized structure of YZr2ScFe.

POSCAR file:
```
YZr2ScFe
1.0
4.8181 0.0000 0.0000
0.0000 4.8181 0.0000
0.0000 0.0000 4.9283
Y Zr Sc Fe
1 2 1 1
Direct
0.0000 0.0000 0.0000
0.0000 0.5000 0.5000
0.5000 0.0000 0.5000
0.5000 0.5000 0.0000
0.5000 0.5000 0.5000
```

## Properties
- ΔE_f (meV per atom) = 129
- uncorrected energy (eV for the cell shown) = -121.0
- magnetic moment (μB per cell) = 0.0

***

# 11
VASP calculation (meta-GGA SCAN) on a PBEsol-optimized structure of ZrSc3Fe.

POSCAR file:
```
ZrSc3Fe
1.0
4.9543 0.0000 0.0000
0.0000 4.9543 0.0000
0.0000 0.0000 4.9543
Zr Sc Fe
1 3 1
Direct
0.0000 0.0000 0.0000
0.0000 0.0000 0.5000
0.0000 0.5000 0.0000
0.5000 0.0000 0.0000
0.5000 0.5000 0.5000
```

## Properties
- ΔE_f (meV per atom) = 1196
- uncorrected energy (eV for the cell shown) = -85.6
- magnetic moment (μB per cell) = 2.8

***

# 12
VASP calculation (meta-GGA SCAN) on a PBEsol-optimized structure of ZrSc4Fe.

POSCAR file:
```
ZrSc4Fe
1.0
0.0000 4.0016 4.0016
4.0016 0.0000 4.0016
4.0016 4.0016 0.0000
Zr Sc Fe
1 4 1
Direct
0.0000 0.0000 0.0000
0.3751 0.3751 0.3751
0.3751 0.3751 0.8748
0.3751 0.8748 0.3751
0.8748 0.3751 0.3751
0.7500 0.7500 0.7500
```

## Properties
- ΔE_f (meV per atom) = 567
- uncorrected energy (eV for the cell shown) = -102.4
- magnetic moment (μB per cell) = 1.8